First-principles (PBE) data for a relaxed Ba4Cu2S crystal, as listed in Alexandria.

a = 6.2620 Å, b = 6.2620 Å, c = 15.1272 Å
α = 90.00°, β = 90.00°, γ = 90.00°
Space group I4/mmm (No. 139)
One atom of each set of equivalent atoms:
1 Ba 0.0000 0.0000 0.2076 [4 per cell]
2 Ba 0.0000 0.5000 0.0000 [4 per cell]
3 Cu 0.0000 0.0000 0.4200 [4 per cell]
4 S 0.0000 0.0000 0.0000 [2 per cell]

Computed properties:
Total magnetization, μB/atom: 0.000
Formation energy without anion corrections, eV/f.u.: -3.2
V, Å³ per atom: 42.37
DFT total energy, eV/atom: -3.317